{"formula": "ScSeCl2", "functional": "PBE-GGA", "state": "optimized geometry", "lattice": [[-1.606, 2.467, 7.316], [1.606, -2.467, 7.316], [1.606, 2.467, -7.316]], "species": ["Sc", "Se", "Cl", "Cl"], "frac_coords": [[0.000, 0.000, 0.000], [0.150, 0.650, 0.500], [0.508, 0.508, 0.000], [0.870, 0.370, 0.500]], "sg": "Imm2, No. 44"}

***

{"formula": "ScSeCl2", "functional": "PBE-GGA", "state": "optimized geometry", "lattice": [[3.849, 0.000, 0.000], [0.000, 3.849, 0.000], [0.000, 0.000, 8.185]], "species": ["Sc", "Se", "Cl", "Cl"], "frac_coords": [[0.000, 0.000, 0.000], [0.500, 0.500, 0.958], [0.000, 0.000, 0.274], [0.500, 0.500, 0.647]], "sg": "P4mm, No. 99"}

***

{"formula": "ScSeCl2", "functional": "PBE-GGA", "state": "optimized geometry", "lattice": [[1.689, 0.975, 9.657], [-1.689, 0.975, 9.657], [0.000, -1.951, 9.657]], "species": ["Sc", "Se", "Cl", "Cl"], "frac_coords": [[0.000, 0.000, 0.000], [0.500, 0.500, 0.500], [0.278, 0.278, 0.278], [0.722, 0.722, 0.722]], "sg": "R-3m, No. 166"}

***

{"formula": "ScSeCl2", "functional": "PBE-GGA", "state": "optimized geometry", "lattice": [[4.279, 0.000, 0.000], [0.000, 3.608, 0.000], [-1.970, 0.000, 7.263]], "species": ["Sc", "Se", "Cl", "Cl"], "frac_coords": [[0.000, 0.000, 0.000], [0.470, 0.500, 0.932], [0.134, 0.500, 0.255], [0.830, 0.000, 0.675]], "sg": "Pm, No. 6"}

***

Number 1: E_tot -18.469 eV/cell, total magnetic moment 0.00 μB per formula unit. Number 2: E_tot -17.822 eV/cell, total magnetic moment 0.95 μB per formula unit. Number 3: E_tot -17.868 eV/cell, total magnetic moment 0.00 μB per formula unit. Number 4: E_tot -18.835 eV/cell, total magnetic moment 0.99 μB per formula unit.